Material: TbPr2Si2
Method: DFT, PBE
State: optimized geometry

## Properties
**Energy above the lowest structure with this stoichiometry**: 19 meV/atom
**E_form (uncorrected)**: -0.61 eV/atom

abc: 12.5306 4.3904 10.8491
angles: 90.00 116.71 90.00
Closest atoms and distances in Å follow each position.
Space group C2/m (No. 12)
Asymmetric unit:
Tb  0.2244  0.0000  0.3660 x4  4 Si 2.88-3.03
Pr  0.0151  0.5000  0.6884 x4  6 Si 3.14-3.23
Pr  0.1793  0.5000  0.0902 x4  4 Si 3.12-3.29
Si  0.0104  0.0000  0.8950 x4  1 Si 2.41
Si  0.1086  0.0000  0.5535 x4  1 Si 2.43

=====

Material: Ba3AlTl3
Method: DFT, PBE
State: optimized geometry

## Properties
**DFT formation energy**: -0.3348 eV per atom

abc: 13.3279 4.7418 17.7426
angles: 90.00 108.99 90.00
Closest atoms and distances in Å follow each position.
Space group C2/m (No. 12)
Asymmetric unit:
Ba  0.0175  0.0000  0.3933 x4  3 Al 3.60-3.96, 7 Tl 3.61-3.94, 1 Ba 3.96
Ba  0.1047  0.0000  0.9191 x4  7 Tl 3.67-3.77
Ba  0.2408  0.0000  0.2384 x4  2 Al 3.64, 6 Tl 3.66-3.83
Al  0.2181  0.5000  0.3873 x4  4 Tl 2.88-2.98
Tl  0.0289  0.5000  0.2403 x4  1 Al 2.98
Tl  0.1118  0.5000  0.0789 x4  2 Tl 3.36-3.39, 6 Ba 3.66-3.74
Tl  0.1697  0.5000  0.5391 x4  3 Al 2.88-2.97

=====

Number 1: calculated total energy -5.613 eV per atom. Number 2: calculated total energy -2.708 eV per atom.